## Ba2ReN3 (SCAN)

Data for Ba2ReN3 at its PBEsol-relaxed geometry.

Theoretical density = 7.26 g cm⁻³
Volume = 460 Å³ per cell
Fermi-level density of states = 0.415 states/eV per atom
Raw formation energy = -0.77 eV per atom
Space-group type = Cmce (64)

Unit cell a=6.5530 b=6.5530 c=13.2605 alpha=90.00 beta=90.00 gamma=126.14
Last column: nearest neighbours and their distance in Å.
Sites, in units of the cell vectors:
Ba (0.0657, 0.9343, 0.8660)  4 N 2.70-2.98
Ba (0.1405, 0.8595, 0.4179)  7 N 2.74-3.01
Ba (0.3595, 0.6405, 0.9179)  7 N 2.74-3.01
Ba (0.4343, 0.5657, 0.3660)  4 N 2.70-2.98
Ba (0.5657, 0.4343, 0.6340)  4 N 2.70-2.98
Ba (0.6405, 0.3595, 0.0821)  7 N 2.74-3.01
Ba (0.8595, 0.1405, 0.5821)  7 N 2.74-3.01
Ba (0.9343, 0.0657, 0.1340)  4 N 2.70-2.98
Re (0.2402, 0.7598, 0.6626)  4 N 1.84-1.91
Re (0.2598, 0.7402, 0.1626)  4 N 1.84-1.91
Re (0.7402, 0.2598, 0.8374)  4 N 1.84-1.91
Re (0.7598, 0.2402, 0.3374)  4 N 1.84-1.91
N (0.0153, 0.4847, 0.7500)  2 Re 1.91
N (0.0894, 0.9106, 0.6229)  1 Re 1.84
N (0.1615, 0.8385, 0.0514)  1 Re 1.87
N (0.3385, 0.6615, 0.5514)  1 Re 1.87
N (0.4106, 0.5894, 0.1229)  1 Re 1.84
N (0.4847, 0.0153, 0.2500)  2 Re 1.91
N (0.5153, 0.9847, 0.7500)  2 Re 1.91
N (0.5894, 0.4106, 0.8771)  1 Re 1.84
N (0.6615, 0.3385, 0.4486)  1 Re 1.87
N (0.8385, 0.1615, 0.9486)  1 Re 1.87
N (0.9106, 0.0894, 0.3771)  1 Re 1.84
N (0.9847, 0.5153, 0.2500)  2 Re 1.91


## BaReS2N (SCAN)

Data for BaReS2N at its PBEsol-relaxed geometry.

Theoretical density = 7.24 g cm⁻³
Volume = 92 Å³ per cell
Fermi-level density of states = 0.380 states/eV per atom
Raw formation energy = -0.79 eV per atom
Space-group type = P4/mmm (123)

Unit cell a=4.8904 b=4.8904 c=3.8525 alpha=90.00 beta=90.00 gamma=90.00
Last column: nearest neighbours and their distance in Å.
Sites, in units of the cell vectors:
Ba (0.0000, 0.0000, 0.0000)  8 S 3.11, 4 N 3.46
Re (0.5000, 0.5000, 0.5000)  2 N 1.93
S (0.0000, 0.5000, 0.5000)  2 Re 2.45
S (0.5000, 0.0000, 0.5000)  2 Re 2.45
N (0.5000, 0.5000, 0.0000)  2 Re 1.93


## BaReSN2 (SCAN)

Data for BaReSN2 at its PBEsol-relaxed geometry.

Theoretical density = 8.12 g cm⁻³
Volume = 78 Å³ per cell
Fermi-level density of states = 0.542 states/eV per atom
Raw formation energy = -0.41 eV per atom
Space-group type = P4/mmm (123)

Unit cell a=4.0344 b=4.0344 c=4.8225 alpha=90.00 beta=90.00 gamma=90.00
Last column: nearest neighbours and their distance in Å.
Sites, in units of the cell vectors:
Ba (0.0000, 0.0000, 0.0000)  4 S 2.85, 8 N 3.14
Re (0.5000, 0.5000, 0.5000)  4 N 2.02
S (0.5000, 0.5000, 0.0000)  2 Re 2.41
N (0.0000, 0.5000, 0.5000)  2 Re 2.02
N (0.5000, 0.0000, 0.5000)  2 Re 2.02